Record 1
A relaxed MnAlSe3 crystal, computed with GGA-PBE.

The structure in CIF format:
```
data_MnAlSe3
_cell_length_a 14.605
_cell_length_b 3.614
_cell_length_c 8.224
_cell_angle_alpha 90.00
_cell_angle_beta 106.06
_cell_angle_gamma 90.00
_space_group_name_H-M_alt 'C 1 2/m 1'
_space_group_IT_number 12
loop_
_space_group_symop_operation_xyz
'x,y,z'
'-x,-y,-z'
'-x,y,-z'
'x,-y,z'
'x+1/2,y+1/2,z'
'-x+1/2,-y+1/2,-z'
'-x+1/2,y+1/2,-z'
'x+1/2,-y+1/2,z'
loop_
_atom_site_label
_atom_site_type_symbol
_atom_site_fract_x
_atom_site_fract_y
_atom_site_fract_z
Mn1 Mn 0.134 0.000 0.362
Al1 Al 0.151 0.500 0.863
Se1 Se 0.024 0.500 0.283
Se2 Se 0.158 0.000 0.064
Se3 Se 0.191 0.500 0.577
```

Summary:
* excess energy over the best structure of this formula in the dataset: 0.384 eV per atom
* E: -4.9050 eV per atom
* calculated volume: 20.9 Å³ per atom

***

Record 2
A relaxed MnAlSe3 crystal, computed with GGA-PBE.

The structure in CIF format:
```
data_MnAlSe3
_cell_length_a 6.974
_cell_length_b 10.384
_cell_length_c 6.516
_cell_angle_alpha 90.00
_cell_angle_beta 90.00
_cell_angle_gamma 90.00
_space_group_name_H-M_alt 'P n m a'
_space_group_IT_number 62
loop_
_space_group_symop_operation_xyz
'x,y,z'
'-x,-y,-z'
'-x+1/2,-y,z+1/2'
'x+1/2,y,-z+1/2'
'x+1/2,-y+1/2,-z+1/2'
'-x+1/2,y+1/2,z+1/2'
'-x,y+1/2,-z'
'x,-y+1/2,z'
loop_
_atom_site_label
_atom_site_type_symbol
_atom_site_fract_x
_atom_site_fract_y
_atom_site_fract_z
Mn1 Mn 0.000 0.000 0.000
Al1 Al 0.183 0.250 0.459
Se1 Se 0.030 0.250 0.121
Se2 Se 0.174 0.052 0.643
```

Summary:
* excess energy over the best structure of this formula in the dataset: 0.107 eV per atom
* E: -5.1825 eV per atom
* calculated volume: 23.6 Å³ per atom

***

Record 3
A relaxed MnAl3Se crystal, computed with GGA-PBE.

The structure in CIF format:
```
data_MnAl3Se
_cell_length_a 4.721
_cell_length_b 4.721
_cell_length_c 4.721
_cell_angle_alpha 90.00
_cell_angle_beta 90.00
_cell_angle_gamma 90.00
_space_group_name_H-M_alt 'P m -3 m'
_space_group_IT_number 221
_space_group_name_Hall '-P 4 2 3'
loop_
_atom_site_label
_atom_site_type_symbol
_atom_site_fract_x
_atom_site_fract_y
_atom_site_fract_z
Mn1 Mn 0.000 0.000 0.000
Al1 Al 0.000 0.000 0.500
Se1 Se 0.500 0.500 0.500
```

Summary:
* excess energy over the best structure of this formula in the dataset: 0.000 eV per atom
* E: -4.3934 eV per atom
* calculated volume: 21.0 Å³ per atom

***

Record 4
A relaxed Sr2MnAlSe5 crystal, computed with GGA-PBE.

The structure in CIF format:
```
data_Sr2MnAlSe5
_cell_length_a 4.029
_cell_length_b 18.050
_cell_length_c 12.760
_cell_angle_alpha 90.00
_cell_angle_beta 90.00
_cell_angle_gamma 90.00
_space_group_name_H-M_alt 'C m c 21'
_space_group_IT_number 36
loop_
_space_group_symop_operation_xyz
'x,y,z'
'-x,-y,z+1/2'
'-x,y,z'
'x,-y,z+1/2'
'x+1/2,y+1/2,z'
'-x+1/2,-y+1/2,z+1/2'
'-x+1/2,y+1/2,z'
'x+1/2,-y+1/2,z+1/2'
loop_
_atom_site_label
_atom_site_type_symbol
_atom_site_fract_x
_atom_site_fract_y
_atom_site_fract_z
Sr1 Sr 0.000 0.117 0.000
Sr2 Sr 0.000 0.130 0.635
Mn1 Mn 0.000 0.212 0.350
Al1 Al 0.000 0.432 0.756
Se1 Se 0.000 0.058 0.365
Se2 Se 0.000 0.286 0.981
Se3 Se 0.000 0.303 0.705
Se4 Se 0.000 0.351 0.323
Se5 Se 0.000 0.499 0.598
```

Summary:
* E: -4.9870 eV per atom
* calculated volume: 25.8 Å³ per atom

***

Record 5
A relaxed MnAlZn2Se4 crystal, computed with GGA-PBE.

The structure in CIF format:
```
data_MnAlZn2Se4
_cell_length_a 5.787
_cell_length_b 5.787
_cell_length_c 11.479
_cell_angle_alpha 90.00
_cell_angle_beta 90.00
_cell_angle_gamma 90.00
_space_group_name_H-M_alt 'I -4 2 m'
_space_group_IT_number 121
_space_group_name_Hall 'I -4 2'
loop_
_atom_site_label
_atom_site_type_symbol
_atom_site_fract_x
_atom_site_fract_y
_atom_site_fract_z
Mn1 Mn 0.000 0.000 0.000
Al1 Al 0.000 0.000 0.500
Zn1 Zn 0.000 0.500 0.250
Se1 Se 0.245 0.245 0.623
```

Summary:
* E: -4.2225 eV per atom
* calculated volume: 24.0 Å³ per atom

***

Record 6
A relaxed MnAlSi2 crystal, computed with GGA-PBE.

The structure in CIF format:
```
data_MnAlSi2
_cell_length_a 8.069
_cell_length_b 2.862
_cell_length_c 4.566
_cell_angle_alpha 90.00
_cell_angle_beta 97.32
_cell_angle_gamma 90.00
_space_group_name_H-M_alt 'C 1 2/m 1'
_space_group_IT_number 12
loop_
_space_group_symop_operation_xyz
'x,y,z'
'-x,-y,-z'
'-x,y,-z'
'x,-y,z'
'x+1/2,y+1/2,z'
'-x+1/2,-y+1/2,-z'
'-x+1/2,y+1/2,-z'
'x+1/2,-y+1/2,z'
loop_
_atom_site_label
_atom_site_type_symbol
_atom_site_fract_x
_atom_site_fract_y
_atom_site_fract_z
Mn1 Mn 0.000 0.000 0.000
Al1 Al 0.000 0.500 0.500
Si1 Si 0.237 0.500 0.215
```

Summary:
* E: -5.9982 eV per atom
* calculated volume: 13.1 Å³ per atom

***

Record 7
A relaxed MnAlSi2 crystal, computed with GGA-PBE.

The structure in CIF format:
```
data_MnAlSi2
_cell_length_a 2.8621
_cell_length_b 2.8621
_cell_length_c 22.8547
_cell_angle_alpha 90.00
_cell_angle_beta 90.00
_cell_angle_gamma 120.00
_space_group_name_H-M_alt 'R -3 m'
_space_group_IT_number 166
_space_group_name_Hall '-R 3 2"'
loop_
_atom_site_label
_atom_site_type_symbol
_atom_site_fract_x
_atom_site_fract_y
_atom_site_fract_z
Mn1 Mn 0.0000 0.0000 0.0000
Al1 Al 0.0000 0.0000 0.5000
Si1 Si 0.0000 0.0000 0.2589
```

Summary:
* E: -5.9321 eV per atom
* calculated volume: 13.5 Å³ per atom

***

Record 8
A relaxed Mn2AlSi crystal, computed with GGA-PBE.

The structure in CIF format:
```
data_Mn2AlSi
_cell_length_a 2.857
_cell_length_b 3.939
_cell_length_c 8.328
_cell_angle_alpha 90.00
_cell_angle_beta 90.00
_cell_angle_gamma 90.00
_space_group_name_H-M_alt 'I m m 2'
_space_group_IT_number 44
loop_
_space_group_symop_operation_xyz
'x,y,z'
'-x,-y,z'
'-x,y,z'
'x,-y,z'
'x+1/2,y+1/2,z+1/2'
'-x+1/2,-y+1/2,z+1/2'
'-x+1/2,y+1/2,z+1/2'
'x+1/2,-y+1/2,z+1/2'
loop_
_atom_site_label
_atom_site_type_symbol
_atom_site_fract_x
_atom_site_fract_y
_atom_site_fract_z
Mn1 Mn 0.000 0.000 0.000
Mn2 Mn 0.000 0.500 0.264
Al1 Al 0.000 0.000 0.510
Si1 Si 0.000 0.500 0.735
```

Summary:
* E: -7.1087 eV per atom
* calculated volume: 11.7 Å³ per atom

***

Record 9
A relaxed MnAlSi2 crystal, computed with GGA-PBE.

The structure in CIF format:
```
data_MnAlSi2
_cell_length_a 3.050
_cell_length_b 3.983
_cell_length_c 4.701
_cell_angle_alpha 90.00
_cell_angle_beta 108.81
_cell_angle_gamma 90.00
_space_group_name_H-M_alt 'P 1 m 1'
_space_group_IT_number 6
loop_
_space_group_symop_operation_xyz
'x,y,z'
'x,-y,z'
loop_
_atom_site_label
_atom_site_type_symbol
_atom_site_fract_x
_atom_site_fract_y
_atom_site_fract_z
Mn1 Mn 0.000 0.000 0.000
Al1 Al 0.402 0.500 0.800
Si1 Si 0.129 0.500 0.258
Si2 Si 0.718 0.000 0.436
```

Summary:
* E: -5.9941 eV per atom
* calculated volume: 13.5 Å³ per atom

***

Record 10
A relaxed MnAl3Si crystal, computed with GGA-PBE.

The structure in CIF format:
```
data_MnAl3Si
_cell_length_a 4.663
_cell_length_b 4.663
_cell_length_c 4.663
_cell_angle_alpha 90.00
_cell_angle_beta 90.00
_cell_angle_gamma 90.00
_space_group_name_H-M_alt 'P m -3 m'
_space_group_IT_number 221
_space_group_name_Hall '-P 4 2 3'
loop_
_atom_site_label
_atom_site_type_symbol
_atom_site_fract_x
_atom_site_fract_y
_atom_site_fract_z
Mn1 Mn 0.000 0.000 0.000
Al1 Al 0.000 0.500 0.500
Si1 Si 0.500 0.500 0.500
```

Summary:
* excess energy over the best structure of this formula in the dataset: 0.694 eV per atom
* E: -3.9427 eV per atom
* calculated volume: 20.3 Å³ per atom

***

Record 11
A relaxed MnAlSi2 crystal, computed with GGA-PBE.

The structure in CIF format:
```
data_MnAlSi2
_cell_length_a 3.138
_cell_length_b 3.138
_cell_length_c 5.109
_cell_angle_alpha 90.00
_cell_angle_beta 90.00
_cell_angle_gamma 90.00
_space_group_name_H-M_alt 'P 4 m m'
_space_group_IT_number 99
loop_
_space_group_symop_operation_xyz
'x,y,z'
'-y,x,z'
'-x,-y,z'
'y,-x,z'
'-x,y,z'
'y,x,z'
'x,-y,z'
'-y,-x,z'
loop_
_atom_site_label
_atom_site_type_symbol
_atom_site_fract_x
_atom_site_fract_y
_atom_site_fract_z
Mn1 Mn 0.000 0.000 0.000
Al1 Al 0.500 0.500 0.733
Si1 Si 0.000 0.000 0.473
Si2 Si 0.500 0.500 0.222
```

Summary:
* E: -5.9956 eV per atom
* calculated volume: 12.6 Å³ per atom

***

Record 12
A relaxed MnAl2Si crystal, computed with GGA-PBE.

The structure in CIF format:
```
data_MnAl2Si
_cell_length_a 8.723
_cell_length_b 2.767
_cell_length_c 4.551
_cell_angle_alpha 90.00
_cell_angle_beta 97.43
_cell_angle_gamma 90.00
_space_group_name_H-M_alt 'C 1 m 1'
_space_group_IT_number 8
loop_
_space_group_symop_operation_xyz
'x,y,z'
'x,-y,z'
'x+1/2,y+1/2,z'
'x+1/2,-y+1/2,z'
loop_
_atom_site_label
_atom_site_type_symbol
_atom_site_fract_x
_atom_site_fract_y
_atom_site_fract_z
Mn1 Mn 0.000 0.000 0.000
Al1 Al 0.003 0.500 0.509
Al2 Al 0.244 0.500 0.243
Si1 Si 0.266 0.000 0.778
```

Summary:
* E: -5.6009 eV per atom
* calculated volume: 13.6 Å³ per atom

***

Record 13
A relaxed MnAl2Si crystal, computed with GGA-PBE.

The structure in CIF format:
```
data_MnAl2Si
_cell_length_a 3.863
_cell_length_b 3.863
_cell_length_c 3.677
_cell_angle_alpha 90.00
_cell_angle_beta 90.00
_cell_angle_gamma 90.00
_space_group_name_H-M_alt 'P 4/m m m'
_space_group_IT_number 123
_space_group_name_Hall '-P 4 2'
loop_
_atom_site_label
_atom_site_type_symbol
_atom_site_fract_x
_atom_site_fract_y
_atom_site_fract_z
Mn1 Mn 0.000 0.000 0.000
Al1 Al 0.000 0.500 0.500
Si1 Si 0.500 0.500 0.000
```

Summary:
* E: -5.5592 eV per atom
* calculated volume: 13.7 Å³ per atom

***

Record 14
A relaxed MnAlSi2 crystal, computed with GGA-PBE.

The structure in CIF format:
```
data_MnAlSi2
_cell_length_a 2.736
_cell_length_b 2.736
_cell_length_c 7.142
_cell_angle_alpha 90.00
_cell_angle_beta 90.00
_cell_angle_gamma 90.00
_space_group_name_H-M_alt 'P 4/m m m'
_space_group_IT_number 123
_space_group_name_Hall '-P 4 2'
loop_
_atom_site_label
_atom_site_type_symbol
_atom_site_fract_x
_atom_site_fract_y
_atom_site_fract_z
Mn1 Mn 0.000 0.000 0.000
Al1 Al 0.000 0.000 0.500
Si1 Si 0.500 0.500 0.204
```

Summary:
* E: -5.9774 eV per atom
* calculated volume: 13.4 Å³ per atom

***

Record 15
A relaxed MnAl2Si crystal, computed with GGA-PBE.

The structure in CIF format:
```
data_MnAl2Si
_cell_length_a 3.097
_cell_length_b 3.097
_cell_length_c 5.515
_cell_angle_alpha 90.00
_cell_angle_beta 90.00
_cell_angle_gamma 90.00
_space_group_name_H-M_alt 'P 4 m m'
_space_group_IT_number 99
loop_
_space_group_symop_operation_xyz
'x,y,z'
'-y,x,z'
'-x,-y,z'
'y,-x,z'
'-x,y,z'
'y,x,z'
'x,-y,z'
'-y,-x,z'
loop_
_atom_site_label
_atom_site_type_symbol
_atom_site_fract_x
_atom_site_fract_y
_atom_site_fract_z
Mn1 Mn 0.000 0.000 0.000
Al1 Al 0.000 0.000 0.461
Al2 Al 0.500 0.500 0.743
Si1 Si 0.500 0.500 0.199
```

Summary:
* E: -5.6210 eV per atom
* calculated volume: 13.2 Å³ per atom

***

Record 16
A relaxed MnAl2Si crystal, computed with GGA-PBE.

The structure in CIF format:
```
data_MnAl2Si
_cell_length_a 3.494
_cell_length_b 3.950
_cell_length_c 7.664
_cell_angle_alpha 90.00
_cell_angle_beta 90.00
_cell_angle_gamma 90.00
_space_group_name_H-M_alt 'I m m 2'
_space_group_IT_number 44
loop_
_space_group_symop_operation_xyz
'x,y,z'
'-x,-y,z'
'-x,y,z'
'x,-y,z'
'x+1/2,y+1/2,z+1/2'
'-x+1/2,-y+1/2,z+1/2'
'-x+1/2,y+1/2,z+1/2'
'x+1/2,-y+1/2,z+1/2'
loop_
_atom_site_label
_atom_site_type_symbol
_atom_site_fract_x
_atom_site_fract_y
_atom_site_fract_z
Mn1 Mn 0.000 0.000 0.000
Al1 Al 0.000 0.000 0.488
Al2 Al 0.000 0.500 0.245
Si1 Si 0.000 0.500 0.734
```

Summary:
* E: -5.5934 eV per atom
* calculated volume: 13.2 Å³ per atom

***

Record 17
A relaxed MnAl4Si crystal, computed with GGA-PBE.

The structure in CIF format:
```
data_MnAl4Si
_cell_length_a 7.304
_cell_length_b 7.304
_cell_length_c 7.304
_cell_angle_alpha 90.00
_cell_angle_beta 90.00
_cell_angle_gamma 90.00
_space_group_name_H-M_alt 'F -4 3 m'
_space_group_IT_number 216
_space_group_name_Hall 'F -4 2 3'
loop_
_atom_site_label
_atom_site_type_symbol
_atom_site_fract_x
_atom_site_fract_y
_atom_site_fract_z
Mn1 Mn 0.000 0.000 0.000
Al1 Al 0.125 0.125 0.375
Si1 Si 0.250 0.250 0.750
```

Summary:
* E: -4.6311 eV per atom
* calculated volume: 16.2 Å³ per atom

***

Record 18
A relaxed Mn2AlSi crystal, computed with GGA-PBE.

The structure in CIF format:
```
data_Mn2AlSi
_cell_length_a 2.975
_cell_length_b 3.979
_cell_length_c 3.979
_cell_angle_alpha 90.00
_cell_angle_beta 90.00
_cell_angle_gamma 90.00
_space_group_name_H-M_alt 'P m m 2'
_space_group_IT_number 25
loop_
_space_group_symop_operation_xyz
'x,y,z'
'-x,-y,z'
'-x,y,z'
'x,-y,z'
loop_
_atom_site_label
_atom_site_type_symbol
_atom_site_fract_x
_atom_site_fract_y
_atom_site_fract_z
Mn1 Mn 0.000 0.000 0.000
Mn2 Mn 0.000 0.500 0.496
Al1 Al 0.500 0.000 0.500
Si1 Si 0.500 0.500 0.996
```

Summary:
* E: -7.1304 eV per atom
* calculated volume: 11.8 Å³ per atom

***

Record 19
A relaxed Mn2AlSi crystal, computed with GGA-PBE.

The structure in CIF format:
```
data_Mn2AlSi
_cell_length_a 6.568
_cell_length_b 6.568
_cell_length_c 5.262
_cell_angle_alpha 90.00
_cell_angle_beta 90.00
_cell_angle_gamma 90.00
_space_group_name_H-M_alt 'I -4 2 d'
_space_group_IT_number 122
_space_group_name_Hall 'I -4 2bw'
loop_
_atom_site_label
_atom_site_type_symbol
_atom_site_fract_x
_atom_site_fract_y
_atom_site_fract_z
Mn1 Mn 0.227 0.250 0.125
Al1 Al 0.000 0.000 0.500
Si1 Si 0.000 0.000 0.000
```

Summary:
* E: -6.7135 eV per atom
* calculated volume: 14.2 Å³ per atom

***

Record 20
A relaxed MnAl2Si crystal, computed with GGA-PBE.

The structure in CIF format:
```
data_MnAl2Si
_cell_length_a 3.826
_cell_length_b 3.834
_cell_length_c 7.639
_cell_angle_alpha 90.00
_cell_angle_beta 90.00
_cell_angle_gamma 90.00
_space_group_name_H-M_alt 'C m m 2'
_space_group_IT_number 35
loop_
_space_group_symop_operation_xyz
'x,y,z'
'-x,-y,z'
'-x,y,z'
'x,-y,z'
'x+1/2,y+1/2,z'
'-x+1/2,-y+1/2,z'
'-x+1/2,y+1/2,z'
'x+1/2,-y+1/2,z'
loop_
_atom_site_label
_atom_site_type_symbol
_atom_site_fract_x
_atom_site_fract_y
_atom_site_fract_z
Mn1 Mn 0.000 0.000 0.000
Al1 Al 0.000 0.000 0.482
Al2 Al 0.000 0.500 0.767
Si1 Si 0.000 0.500 0.207
```

Summary:
* E: -5.6021 eV per atom
* calculated volume: 14.0 Å³ per atom

***

| no. | formation energy (no corrections) (eV per atom) | M_tot (Bohr magnetons per cell) |
| --- | --- | --- |
| 1 | -0.23 | 0.000 |
| 2 | -0.51 | 16.040 |
| 3 | 0.38 | 3.058 |
| 4 | -1.24 | 16.000 |
| 5 | -0.55 | 8.307 |
| 6 | -0.06 | 1.422 |
| 7 | 0.01 | 2.744 |
| 8 | -0.23 | 1.081 |
| 9 | -0.05 | 0.000 |
| 10 | 1.22 | 0.310 |
| 11 | -0.06 | 0.000 |
| 12 | -0.08 | 2.816 |
| 13 | -0.04 | 2.296 |
| 14 | -0.04 | 0.584 |
| 15 | -0.10 | 0.000 |
| 16 | -0.07 | 1.633 |
| 17 | 0.30 | 11.962 |
| 18 | -0.25 | 2.565 |
| 19 | 0.16 | 19.161 |
| 20 | -0.08 | 3.731 |